Here is a geometry-optimized Nd2YCd structure from the Alexandria database. Energies are from PBE-GGA.

calculated total energy: -4.3837 eV/atom
energy above the most stable polymorph in this dataset: 0.0 kJ/mol of atoms
Fermi-level density of states: 1.1942 states/eV/atom
symmetry: No. 129
crystal system: tetragonal
ΔE_f: -0.155 eV per atom

Cell: 5.253 5.253 8.997 Å, 90.00 90.00 90.00°
Atoms (fractional coordinates):
Nd1 0.000 0.000 0.500
Nd2 0.500 0.500 0.500
Nd3 0.000 0.500 0.776
Nd4 0.500 0.000 0.224
Y1 0.000 0.500 0.218
Y2 0.500 0.000 0.782
Cd1 0.000 0.000 0.000
Cd2 0.500 0.500 0.000